1.
Hf2Bi2F: optimized geometry, GGA-PBE.

The structure belongs to space group I4/mmm (No. 139); the cell edges are 4.863, 4.863 and 12.850 Å and the angles 90.00°, 90.00° and 90.00°. The distinct sites, in fractional coordinates, are Hf at (0.000, 0.500, 0.250), Bi at (0.000, 0.000, 0.123) and F at (0.000, 0.000, 0.500).

The formation energy from raw total energies comes out at -2 kJ/mol of atoms. As for the energy above the most stable polymorph in this dataset: 235 meV per atom.


2.
La6Tb5Y: optimized geometry, GGA-PBE.

The structure belongs to space group C2/m (No. 12); the cell edges are 17.889, 7.414 and 6.246 Å and the angles 90.00°, 92.19° and 90.00°. The distinct sites, in fractional coordinates, are La at (0.000, 0.248, 0.000), La at (0.167, 0.249, 0.666), Tb at (0.000, 0.000, 0.500), Tb at (0.167, 0.000, 0.167), Tb at (0.167, 0.500, 0.166) and Y at (0.000, 0.500, 0.500).

The calculation puts the energy of formation from the pure elements at 22 meV/atom.


| no. | size of the total moment (μB per formula unit) |
| --- | --- |
| 1 | 0.00 |
| 2 | 0.00 |